Computed, not measured: a relaxed structure of Cs8Ag6F at the PBE-GGA level of DFT.

CIF file:
```
data_Cs8Ag6F
_chemical_formula_sum 'Cs8 Ag6 F1'
_cell_length_a 9.403
_cell_length_b 9.403
_cell_length_c 9.403
_cell_angle_alpha 74.66
_cell_angle_beta 74.66
_cell_angle_gamma 74.66
_symmetry_space_group_name_H-M 'P 1'
_symmetry_Int_Tables_number 1
loop_
_symmetry_equiv_pos_as_xyz
'x,y,z'
loop_
_atom_site_label
_atom_site_type_symbol
_atom_site_fract_x
_atom_site_fract_y
_atom_site_fract_z
Ag1 Ag 0.491 0.648 0.035
Ag2 Ag 0.035 0.491 0.648
Ag3 Ag 0.648 0.035 0.491
Ag4 Ag 0.965 0.509 0.352
Ag5 Ag 0.352 0.965 0.509
Ag6 Ag 0.509 0.352 0.965
Cs1 Cs 0.366 0.366 0.366
Cs2 Cs 0.313 0.097 0.857
Cs3 Cs 0.634 0.634 0.634
Cs4 Cs 0.143 0.687 0.903
Cs5 Cs 0.903 0.143 0.687
Cs6 Cs 0.097 0.857 0.313
Cs7 Cs 0.857 0.313 0.097
Cs8 Cs 0.687 0.903 0.143
F1 F 0.000 0.000 0.000
```

Values from the calculation:
Space-group type: R-3, No. 148
Energy (eV per atom): -2.0077
Energy relative to the elements, uncorrected (eV per atom): -0.29
ρ (kg/m³): 3798